BeAg2As after structural relaxation. Source: Alexandria, functional PBE-GGA.

## Properties
- ΔE to the lowest computed polymorph: 15 meV/atom
- ΔE_f: 0.90 eV/f.u.
- Calculated total energy: -26.3 eV for the cell shown

Unit cell a=8.9332 b=2.8578 c=5.6133 alpha=90.00 beta=109.06 gamma=90.00
Element x y z (fractional)
Be (0.0000, 0.0000, 0.0000)
Be (0.5000, 0.5000, 0.0000)
Ag (0.0362, 0.5000, 0.3964)
Ag (0.2402, 0.5000, 0.0910)
Ag (0.5362, 0.0000, 0.3964)
Ag (0.7402, 0.0000, 0.0910)
As (0.3390, 0.0000, 0.6884)
As (0.8390, 0.5000, 0.6884)

=====

AuC2 after structural relaxation. Source: Alexandria, functional PBE-GGA.

## Properties
- ΔE to the lowest computed polymorph: 1532 meV/atom
- ΔE_f: 5.39 eV/f.u.
- Calculated total energy: -16.3 eV for the cell shown

Unit cell a=3.2522 b=3.2522 c=3.9641 alpha=90.00 beta=90.00 gamma=120.00
Element x y z (fractional)
Au (0.0000, 0.0000, 0.0000)
C (0.6667, 0.3333, 0.3354)
C (0.6667, 0.3333, 0.6646)

=====

BeCoIr4 after structural relaxation. Source: Alexandria, functional PBE-GGA.

## Properties
- ΔE_f: 4.07 eV/f.u.
- Calculated total energy: -42.2 eV for the cell shown

Unit cell a=5.1024 b=5.1024 c=5.1024 alpha=60.00 beta=60.00 gamma=60.00
Element x y z (fractional)
Be (0.0000, 0.0000, 0.0000)
Co (0.2500, 0.2500, 0.2500)
Ir (0.1247, 0.6251, 0.6251)
Ir (0.6251, 0.1247, 0.6251)
Ir (0.6251, 0.6251, 0.1247)
Ir (0.6251, 0.6251, 0.6251)

=====

TaPbW after structural relaxation. Source: Alexandria, functional PBE-GGA.

## Properties
- ΔE to the lowest computed polymorph: 300 meV/atom
- ΔE_f: 2.63 eV/f.u.
- Calculated total energy: -51.8 eV for the cell shown

Unit cell a=2.9706 b=2.9706 c=13.5678 alpha=90.00 beta=90.00 gamma=90.00
Element x y z (fractional)
Ta (0.0000, 0.0000, 0.0000)
Ta (0.5000, 0.5000, 0.5000)
Pb (0.0000, 0.0000, 0.3213)
Pb (0.5000, 0.5000, 0.8213)
W (0.0000, 0.0000, 0.6501)
W (0.5000, 0.5000, 0.1501)

=====

Tb2NpSe after structural relaxation. Source: Alexandria, functional PBE-GGA.

## Properties
- Uncorrected formation energy: -0.83 eV per formula unit
- Calculated total energy: -79.5 eV for the cell shown

Unit cell a=3.6469 b=3.6469 c=31.0684 alpha=90.00 beta=90.00 gamma=120.00
Element x y z (fractional)
Tb (0.0000, 0.0000, 0.1062)
Tb (0.0000, 0.0000, 0.8938)
Tb (0.3333, 0.6667, 0.5604)
Tb (0.3333, 0.6667, 0.7729)
Tb (0.6667, 0.3333, 0.2271)
Tb (0.6667, 0.3333, 0.4396)
Np (0.0000, 0.0000, 0.0000)
Np (0.3333, 0.6667, 0.6667)
Np (0.6667, 0.3333, 0.3333)
Se (0.0000, 0.0000, 0.5000)
Se (0.3333, 0.6667, 0.1667)
Se (0.6667, 0.3333, 0.8333)

=====

NbTeHPdICl after structural relaxation. Source: Alexandria, functional PBE-GGA.

## Properties
- ΔE to the lowest computed polymorph: 0 meV/atom
- Calculated total energy: -54.8 eV for the cell shown

Unit cell a=16.1254 b=3.6888 c=5.1946 alpha=90.00 beta=106.07 gamma=90.00
Element x y z (fractional)
Nb (0.0000, 0.0000, 0.0000)
Nb (0.5000, 0.5000, 0.0000)
Te (0.4657, 0.0000, 0.3703)
Te (0.9657, 0.5000, 0.3703)
H (0.0255, 0.5000, 0.9374)
H (0.5255, 0.0000, 0.9374)
Pd (0.0879, 0.0000, 0.5639)
Pd (0.5879, 0.5000, 0.5639)
I (0.1780, 0.0000, 0.0960)
I (0.6780, 0.5000, 0.0960)
Cl (0.3539, 0.5000, 0.7496)
Cl (0.8539, 0.0000, 0.7496)